Record 1
DFT (PBE-GGA) results for HfCd3Tc after structural relaxation.

Structure (CIF):
```
data_HfCd3Tc
_chemical_formula_sum 'Hf1 Cd3 Tc1'
_space_group_name_H-M_alt 'P m -3 m'
_space_group_IT_number 221
_space_group_name_Hall '-P 4 2 3'
_cell_length_a 5.066
_cell_length_b 5.066
_cell_length_c 5.066
_cell_angle_alpha 90.00
_cell_angle_beta 90.00
_cell_angle_gamma 90.00
loop_
_atom_site_label
_atom_site_type_symbol
_atom_site_fract_x
_atom_site_fract_y
_atom_site_fract_z
Hf1 Hf 0.000 0.000 0.000
Cd1 Cd 0.000 0.500 0.500
Tc1 Tc 0.500 0.500 0.500
```

- Raw total energy: -3.42 eV/atom
- DOS(E_F): 4.953 states/eV per cell

---

Record 2
DFT (PBE-GGA) results for Hf2CdTc after structural relaxation.

Structure (CIF):
```
data_Hf2CdTc
_chemical_formula_sum 'Hf2 Cd1 Tc1'
_space_group_name_H-M_alt 'P 4/m m m'
_space_group_IT_number 123
_space_group_name_Hall '-P 4 2'
_cell_length_a 3.310
_cell_length_b 3.310
_cell_length_c 7.164
_cell_angle_alpha 90.00
_cell_angle_beta 90.00
_cell_angle_gamma 90.00
loop_
_atom_site_label
_atom_site_type_symbol
_atom_site_fract_x
_atom_site_fract_y
_atom_site_fract_z
Hf1 Hf 0.000 0.000 0.217
Cd1 Cd 0.500 0.500 0.500
Tc1 Tc 0.500 0.500 0.000
```

- Raw total energy: -8.11 eV/atom
- DOS(E_F): 2.907 states/eV per cell

---

Record 3
DFT (PBE-GGA) results for Hf3CdTc after structural relaxation.

Structure (CIF):
```
data_Hf3CdTc
_chemical_formula_sum 'Hf3 Cd1 Tc1'
_space_group_name_H-M_alt 'P m -3 m'
_space_group_IT_number 221
_space_group_name_Hall '-P 4 2 3'
_cell_length_a 5.047
_cell_length_b 5.047
_cell_length_c 5.047
_cell_angle_alpha 90.00
_cell_angle_beta 90.00
_cell_angle_gamma 90.00
loop_
_atom_site_label
_atom_site_type_symbol
_atom_site_fract_x
_atom_site_fract_y
_atom_site_fract_z
Hf1 Hf 0.000 0.000 0.500
Cd1 Cd 0.000 0.000 0.000
Tc1 Tc 0.500 0.500 0.500
```

- Raw total energy: -6.47 eV/atom
- DOS(E_F): 8.242 states/eV per cell

---

Record 4
DFT (PBE-GGA) results for Hf2CdTc after structural relaxation.

Structure (CIF):
```
data_Hf2CdTc
_chemical_formula_sum 'Hf2 Cd1 Tc1'
_space_group_name_H-M_alt 'P 4/m m m'
_space_group_IT_number 123
_space_group_name_Hall '-P 4 2'
_cell_length_a 4.699
_cell_length_b 4.699
_cell_length_c 3.460
_cell_angle_alpha 90.00
_cell_angle_beta 90.00
_cell_angle_gamma 90.00
loop_
_atom_site_label
_atom_site_type_symbol
_atom_site_fract_x
_atom_site_fract_y
_atom_site_fract_z
Hf1 Hf 0.000 0.500 0.000
Cd1 Cd 0.000 0.000 0.500
Tc1 Tc 0.500 0.500 0.500
```

- Raw total energy: -7.96 eV/atom
- DOS(E_F): 3.013 states/eV per cell